# 1
A relaxed TiHSe crystal, computed with PBE.

Properties
magnetization: 0.000 μB per formula unit
symmetry: P-1 (2)
final energy: -32.40 eV per cell

Cell lengths 3.2834, 3.4037, 8.6967 Å; angles 90.09, 90.00, 90.09 degrees
Fractional coordinates of all 6 atoms:
Ti: 0.2500 0.2502 0.1191
Ti: 0.7500 0.7498 0.8809
H: 0.2500 0.7499 0.0120
H: 0.7500 0.2501 0.9880
Se: 0.2500 0.7510 0.6740
Se: 0.7500 0.2490 0.3260

***

# 2
A relaxed CuGeSe2N crystal, computed with PBE.

Properties
magnetization: 0.000 μB per formula unit
symmetry: P4/mmm (123)
relative energy among the computed polymorphs: 102 meV per atom
uncorrected formation energy: 0.863 eV/atom

Cell lengths 5.2321, 5.2321, 3.4484 Å; angles 90.00, 90.00, 90.00 degrees
Fractional coordinates of all 5 atoms:
Cu: 0.0000 0.0000 0.0000
Ge: 0.5000 0.5000 0.5000
Se: 0.0000 0.5000 0.5000
Se: 0.5000 0.0000 0.5000
N: 0.5000 0.5000 0.0000

***

# 3
A relaxed NaHgI3 crystal, computed with PBE.

Properties
magnetization: 0.000 μB per formula unit
symmetry: P1 (1)
relative energy among the computed polymorphs: 1 meV per atom
uncorrected formation energy: -0.661 eV/atom

Cell lengths 4.7075, 9.0470, 10.3922 Å; angles 101.42, 103.01, 90.04 degrees
Fractional coordinates of all 10 atoms:
Na: 0.0000 0.0000 0.0000
Na: 0.3143 0.6409 0.6259
Hg: 0.5569 0.5145 0.1167
Hg: 0.7593 0.1270 0.5092
I: 0.1447 0.5688 0.2920
I: 0.1711 0.0735 0.3340
I: 0.4818 0.2217 0.9629
I: 0.4835 0.7497 0.9670
I: 0.8310 0.8917 0.6589
I: 0.8328 0.4198 0.6630

***

# 4
A relaxed KSr3 crystal, computed with PBE.

Properties
magnetization: 0.000 μB per formula unit
symmetry: Cmcm (63)
relative energy among the computed polymorphs: 28 meV per atom
formation enthalpy at 0 K: 74 meV per atom

Cell lengths 13.6340, 10.1079, 6.7080 Å; angles 90.00, 90.00, 90.00 degrees
Fractional coordinates of all 16 atoms:
K: 0.0000 0.1076 0.2500
K: 0.0000 0.8924 0.7500
K: 0.5000 0.3924 0.7500
K: 0.5000 0.6076 0.2500
Sr: 0.0000 0.3680 0.7500
Sr: 0.0000 0.6320 0.2500
Sr: 0.2357 0.3726 0.2500
Sr: 0.2357 0.6274 0.7500
Sr: 0.2643 0.1274 0.7500
Sr: 0.2643 0.8726 0.2500
Sr: 0.5000 0.1320 0.2500
Sr: 0.5000 0.8680 0.7500
Sr: 0.7357 0.1274 0.7500
Sr: 0.7357 0.8726 0.2500
Sr: 0.7643 0.3726 0.2500
Sr: 0.7643 0.6274 0.7500

***

# 5
A relaxed Zn2PbAu3 crystal, computed with PBE.

Properties
magnetization: 0.000 μB per formula unit
symmetry: Cmcm (63)
relative energy among the computed polymorphs: 2 meV per atom
formation enthalpy at 0 K: -123 meV per atom

Cell lengths 6.7792, 6.7792, 5.4243 Å; angles 90.00, 90.00, 77.85 degrees
Fractional coordinates of all 12 atoms:
Zn: 0.2230 0.2230 0.0000
Zn: 0.2230 0.2230 0.5000
Zn: 0.7770 0.7770 0.0000
Zn: 0.7770 0.7770 0.5000
Pb: 0.3468 0.6532 0.7500
Pb: 0.6532 0.3468 0.2500
Au: 0.0148 0.9852 0.2500
Au: 0.1162 0.5562 0.2500
Au: 0.4438 0.8838 0.2500
Au: 0.5562 0.1162 0.7500
Au: 0.8838 0.4438 0.7500
Au: 0.9852 0.0148 0.7500

***

# 6
A relaxed BaErAlSe4 crystal, computed with PBE.

Properties
magnetization: 0.000 μB per formula unit
symmetry: P2_1/m (11)
uncorrected formation energy: -1.566 eV/atom

Cell lengths 6.7931, 7.0476, 8.7530 Å; angles 90.00, 107.44, 90.00 degrees
Fractional coordinates of all 14 atoms:
Ba: 0.2446 0.2500 0.0590
Ba: 0.7554 0.7500 0.9410
Er: 0.2240 0.2500 0.5533
Er: 0.7760 0.7500 0.4467
Al: 0.2334 0.7500 0.3283
Al: 0.7666 0.2500 0.6717
Se: 0.0099 0.5069 0.7160
Se: 0.0099 0.9931 0.7160
Se: 0.4303 0.7500 0.1458
Se: 0.4550 0.7500 0.5912
Se: 0.5450 0.2500 0.4088
Se: 0.5697 0.2500 0.8542
Se: 0.9901 0.0069 0.2840
Se: 0.9901 0.4931 0.2840

***

# 7
A relaxed GaSbRhO6 crystal, computed with PBE.

Properties
magnetization: 0.003 μB per formula unit
symmetry: P-31c (163)
uncorrected formation energy: -1.165 eV/atom

Cell lengths 5.1321, 5.1321, 8.6259 Å; angles 90.00, 90.00, 120.00 degrees
Fractional coordinates of all 18 atoms:
Ga: 0.3333 0.6667 0.2500
Ga: 0.6667 0.3333 0.7500
Sb: 0.3333 0.6667 0.7500
Sb: 0.6667 0.3333 0.2500
Rh: 0.0000 0.0000 0.0000
Rh: 0.0000 0.0000 0.5000
O: 0.0034 0.3389 0.1266
O: 0.0034 0.6645 0.3734
O: 0.3355 0.3389 0.3734
O: 0.3355 0.9966 0.1266
O: 0.3389 0.0034 0.6266
O: 0.3389 0.3355 0.8734
O: 0.6611 0.6645 0.1266
O: 0.6611 0.9966 0.3734
O: 0.6645 0.0034 0.8734
O: 0.6645 0.6611 0.6266
O: 0.9966 0.3355 0.6266
O: 0.9966 0.6611 0.8734

***

# 8
A relaxed Be5Cu3 crystal, computed with PBE.

Properties
magnetization: 0.000 μB per formula unit
symmetry: P6_3/mcm (193)
relative energy among the computed polymorphs: 157 meV per atom
formation enthalpy at 0 K: 73 meV per atom

Cell lengths 6.5264, 6.5264, 4.2807 Å; angles 90.00, 90.00, 120.00 degrees
Fractional coordinates of all 16 atoms:
Be: 0.0000 0.2325 0.2500
Be: 0.0000 0.7675 0.7500
Be: 0.2325 0.0000 0.2500
Be: 0.2325 0.2325 0.7500
Be: 0.3333 0.6667 0.0000
Be: 0.3333 0.6667 0.5000
Be: 0.6667 0.3333 0.0000
Be: 0.6667 0.3333 0.5000
Be: 0.7675 0.0000 0.7500
Be: 0.7675 0.7675 0.2500
Cu: 0.0000 0.3936 0.7500
Cu: 0.0000 0.6064 0.2500
Cu: 0.3936 0.0000 0.7500
Cu: 0.3936 0.3936 0.2500
Cu: 0.6064 0.0000 0.2500
Cu: 0.6064 0.6064 0.7500

***

# 9
A relaxed Ba2Cd6SnPd crystal, computed with PBE.

Properties
magnetization: 0.000 μB per formula unit
symmetry: Fm-3m (225)
formation enthalpy at 0 K: -162 meV per atom

Cell lengths 7.7216, 7.7216, 7.7216 Å; angles 60.00, 60.00, 60.00 degrees
Fractional coordinates of all 10 atoms:
Ba: 0.2500 0.2500 0.2500
Ba: 0.7500 0.7500 0.7500
Cd: 0.2391 0.2391 0.7609
Cd: 0.2391 0.7609 0.2391
Cd: 0.2391 0.7609 0.7609
Cd: 0.7609 0.2391 0.2391
Cd: 0.7609 0.2391 0.7609
Cd: 0.7609 0.7609 0.2391
Sn: 0.5000 0.5000 0.5000
Pd: 0.0000 0.0000 0.0000

***

# 10
A relaxed HfTl3Ru crystal, computed with PBE.

Properties
magnetization: 0.004 μB per formula unit
symmetry: Pm-3m (221)
relative energy among the computed polymorphs: 0 meV per atom
formation enthalpy at 0 K: 894 meV per atom

Cell lengths 5.1994, 5.1994, 5.1994 Å; angles 90.00, 90.00, 90.00 degrees
Fractional coordinates of all 5 atoms:
Hf: 0.0000 0.0000 0.0000
Tl: 0.0000 0.5000 0.5000
Tl: 0.5000 0.0000 0.5000
Tl: 0.5000 0.5000 0.0000
Ru: 0.5000 0.5000 0.5000

***

# 11
A relaxed K2RuPb2 crystal, computed with PBE.

Properties
magnetization: 0.000 μB per formula unit
symmetry: P4/mbm (127)
formation enthalpy at 0 K: 276 meV per atom

Cell lengths 7.2673, 7.2673, 6.1498 Å; angles 90.00, 90.00, 90.00 degrees
Fractional coordinates of all 10 atoms:
K: 0.1735 0.3265 0.0000
K: 0.3265 0.8265 0.0000
K: 0.6735 0.1735 0.0000
K: 0.8265 0.6735 0.0000
Ru: 0.0000 0.0000 0.5000
Ru: 0.5000 0.5000 0.5000
Pb: 0.1719 0.6719 0.5000
Pb: 0.3281 0.1719 0.5000
Pb: 0.6719 0.8281 0.5000
Pb: 0.8281 0.3281 0.5000

***

# 12
A relaxed Tb2TmMg3 crystal, computed with PBE.

Properties
magnetization: 0.000 μB per formula unit
symmetry: P4/mmm (123)
formation enthalpy at 0 K: -75 meV per atom

Cell lengths 3.7837, 3.7837, 11.3439 Å; angles 90.00, 90.00, 90.00 degrees
Fractional coordinates of all 6 atoms:
Tb: 0.0000 0.0000 0.1682
Tb: 0.0000 0.0000 0.8318
Tm: 0.0000 0.0000 0.5000
Mg: 0.5000 0.5000 0.0000
Mg: 0.5000 0.5000 0.3371
Mg: 0.5000 0.5000 0.6629